(1)
This record from Alexandria describes an optimized crystal structure of Sc5GaCo. The functional is PBE.

Lattice parameters (Å, degrees): 8.002 6.766 11.096 90.00 105.14 90.00
Space group C2/c (No. 15)
Asymmetric unit:
Sc (0.000, 0.014, 0.250) [4 per cell]
Sc (0.138, 0.336, 0.077) [8 per cell]
Sc (0.247, 0.166, 0.621) [8 per cell]
Ga (0.000, 0.393, 0.750) [4 per cell]
Co (0.000, 0.000, 0.000) [4 per cell]

Calculated formation energy = -0.15 eV/atom
Volume = 20.71 Å³/atom
Total DFT energy (no corrections) = -6.12 eV per atom

(2)
This record from Alexandria describes an optimized crystal structure of Sc11Ga9Co4. The functional is PBE.

Lattice parameters (Å, degrees): 13.063 19.567 3.299 90.00 90.00 90.00
Space group Cmmm (No. 65)
Asymmetric unit:
Sc (0.000, 0.000, 0.000) [2 per cell]
Sc (0.000, 0.164, 0.000) [4 per cell]
Sc (0.000, 0.374, 0.000) [4 per cell]
Sc (0.191, 0.500, 0.000) [4 per cell]
Sc (0.244, 0.170, 0.000) [8 per cell]
Ga (0.000, 0.500, 0.500) [2 per cell]
Ga (0.104, 0.266, 0.500) [8 per cell]
Ga (0.148, 0.071, 0.500) [8 per cell]
Co (0.154, 0.398, 0.500) [8 per cell]

Calculated formation energy = -0.59 eV/atom
Volume = 17.57 Å³/atom
Total DFT energy (no corrections) = -5.81 eV per atom

(3)
This record from Alexandria describes an optimized crystal structure of Sc2GaCo. The functional is PBE.

Lattice parameters (Å, degrees): 3.211 3.211 6.625 90.00 90.00 90.00
Space group P4/mmm (No. 123)
Asymmetric unit:
Sc (0.000, 0.000, 0.227) [2 per cell]
Ga (0.500, 0.500, 0.500) [1 per cell]
Co (0.500, 0.500, 0.000) [1 per cell]

Calculated formation energy = -0.50 eV/atom
Volume = 17.08 Å³/atom
Total DFT energy (no corrections) = -6.20 eV per atom

(4)
This record from Alexandria describes an optimized crystal structure of ScGa2Co. The functional is PBE.

Lattice parameters (Å, degrees): 3.774 3.774 19.002 90.00 90.00 90.00
Space group I-42d (No. 122)
Asymmetric unit:
Sc (0.000, 0.000, 0.000) [4 per cell]
Ga (0.230, 0.250, 0.625) [8 per cell]
Co (0.000, 0.000, 0.500) [4 per cell]

Calculated formation energy = -0.05 eV/atom
Volume = 16.91 Å³/atom
Total DFT energy (no corrections) = -4.92 eV per atom

(5)
This record from Alexandria describes an optimized crystal structure of Sc2Ga6Co. The functional is PBE.

Lattice parameters (Å, degrees): 17.413 5.912 3.316 90.00 100.54 90.00
Space group C2/m (No. 12)
Asymmetric unit:
Sc (0.227, 0.000, 0.219) [4 per cell]
Ga (0.000, 0.209, 0.000) [4 per cell]
Ga (0.124, 0.272, 0.618) [8 per cell]
Co (0.000, 0.500, 0.500) [2 per cell]

Calculated formation energy = -0.23 eV/atom
Volume = 18.64 Å³/atom
Total DFT energy (no corrections) = -4.45 eV per atom

(6)
This record from Alexandria describes an optimized crystal structure of ScGa2Co. The functional is PBE.

Lattice parameters (Å, degrees): 3.836 3.836 4.176 90.00 90.00 90.00
Space group P4/mmm (No. 123)
Asymmetric unit:
Sc (0.000, 0.000, 0.000) [1 per cell]
Ga (0.000, 0.500, 0.500) [2 per cell]
Co (0.500, 0.500, 0.000) [1 per cell]

Calculated formation energy = -0.35 eV/atom
Volume = 15.37 Å³/atom
Total DFT energy (no corrections) = -5.22 eV per atom

(7)
This record from Alexandria describes an optimized crystal structure of Sc3Ga2Co2. The functional is PBE.

Lattice parameters (Å, degrees): 5.273 7.179 12.572 90.00 90.00 90.00
Space group Pbcm (No. 57)
Asymmetric unit:
Sc (0.120, 0.237, 0.250) [4 per cell]
Sc (0.340, 0.599, 0.095) [8 per cell]
Ga (0.168, 0.250, 0.000) [4 per cell]
Ga (0.381, 0.607, 0.750) [4 per cell]
Co (0.134, 0.547, 0.592) [8 per cell]

Calculated formation energy = -0.51 eV/atom
Volume = 16.99 Å³/atom
Total DFT energy (no corrections) = -6.12 eV per atom

(8)
This record from Alexandria describes an optimized crystal structure of Sc2Ga4Co. The functional is PBE.

Lattice parameters (Å, degrees): 4.402 4.402 14.054 90.00 90.00 90.00
Space group I4/mmm (No. 139)
Asymmetric unit:
Sc (0.000, 0.000, 0.140) [4 per cell]
Ga (0.000, 0.000, 0.332) [4 per cell]
Ga (0.000, 0.500, 0.000) [4 per cell]
Co (0.000, 0.000, 0.500) [2 per cell]

Calculated formation energy = -0.21 eV/atom
Volume = 19.45 Å³/atom
Total DFT energy (no corrections) = -4.77 eV per atom

(9)
This record from Alexandria describes an optimized crystal structure of Sc12Ga6Co. The functional is PBE.

Lattice parameters (Å, degrees): 11.8604 11.8604 11.1159 90.00 90.00 120.00
Space group R-3 (No. 148, hexagonal axes)
Asymmetric unit:
Sc (0.0361, 0.8278, 0.3936) [18 per cell]
Sc (0.0525, 0.8566, 0.8823) [18 per cell]
Ga (0.0514, 0.7768, 0.6446) [18 per cell]
Co (0.0000, 0.0000, 0.0000) [3 per cell]

Calculated formation energy = -0.18 eV/atom
Volume = 23.76 Å³/atom
Total DFT energy (no corrections) = -5.51 eV per atom

(10)
This record from Alexandria describes an optimized crystal structure of ScGa6Co6. The functional is PBE.

Lattice parameters (Å, degrees): 5.010 8.101 8.544 90.00 90.00 90.00
Space group Immm (No. 71)
Asymmetric unit:
Sc (0.000, 0.000, 0.000) [2 per cell]
Ga (0.000, 0.000, 0.341) [4 per cell]
Ga (0.000, 0.336, 0.000) [4 per cell]
Ga (0.000, 0.500, 0.321) [4 per cell]
Co (0.000, 0.260, 0.500) [4 per cell]
Co (0.250, 0.250, 0.250) [8 per cell]

Calculated formation energy = -0.33 eV/atom
Volume = 13.34 Å³/atom
Offset from the most stable computed form = 0 meV per atom
Total DFT energy (no corrections) = -5.49 eV per atom

(11)
This record from Alexandria describes an optimized crystal structure of Sc2Ga4Co3. The functional is PBE.

Lattice parameters (Å, degrees): 5.107 8.719 12.227 90.00 90.00 90.00
Space group Fmmm (No. 69)
Asymmetric unit:
Sc (0.000, 0.000, 0.119) [8 per cell]
Ga (0.000, 0.167, 0.340) [16 per cell]
Co (0.000, 0.000, 0.500) [4 per cell]
Co (0.250, 0.250, 0.000) [8 per cell]

Calculated formation energy = -0.43 eV/atom
Volume = 15.12 Å³/atom
Total DFT energy (no corrections) = -5.55 eV per atom

(12)
This record from Alexandria describes an optimized crystal structure of ScGaCo. The functional is PBE.

Lattice parameters (Å, degrees): 5.918 5.918 5.918 90.00 90.00 90.00
Space group F-43m (No. 216)
Asymmetric unit:
Sc (0.000, 0.000, 0.000) [4 per cell]
Ga (0.000, 0.000, 0.500) [4 per cell]
Co (0.250, 0.250, 0.250) [4 per cell]

Calculated formation energy = -0.30 eV/atom
Volume = 17.27 Å³/atom
Total DFT energy (no corrections) = -5.79 eV per atom

(13)
This record from Alexandria describes an optimized crystal structure of ScGa2Co. The functional is PBE.

Lattice parameters (Å, degrees): 4.0456 4.0456 13.7294 90.00 90.00 120.00
Space group R-3m (No. 166, hexagonal axes)
Asymmetric unit:
Sc (0.0000, 0.0000, 0.0000) [3 per cell]
Ga (0.0000, 0.0000, 0.2184) [6 per cell]
Co (0.0000, 0.0000, 0.5000) [3 per cell]

Calculated formation energy = -0.41 eV/atom
Volume = 16.22 Å³/atom
Total DFT energy (no corrections) = -5.28 eV per atom

(14)
This record from Alexandria describes an optimized crystal structure of Sc2Ga4Co5. The functional is PBE.

Lattice parameters (Å, degrees): 5.197 8.689 14.659 90.00 90.00 90.00
Space group Fmmm (No. 69)
Asymmetric unit:
Sc (0.000, 0.000, 0.111) [8 per cell]
Ga (0.000, 0.159, 0.370) [16 per cell]
Co (0.000, 0.000, 0.500) [4 per cell]
Co (0.250, 0.250, 0.000) [8 per cell]
Co (0.250, 0.250, 0.250) [8 per cell]

Calculated formation energy = -0.27 eV/atom
Volume = 15.04 Å³/atom
Total DFT energy (no corrections) = -5.75 eV per atom

(15)
This record from Alexandria describes an optimized crystal structure of ScGa6Co6. The functional is PBE.

Lattice parameters (Å, degrees): 4.908 12.062 12.264 90.00 90.00 90.00
Space group Fmmm (No. 69)
Asymmetric unit:
Sc (0.000, 0.000, 0.000) [4 per cell]
Ga (0.000, 0.141, 0.376) [16 per cell]
Ga (0.250, 0.000, 0.250) [8 per cell]
Co (0.000, 0.161, 0.170) [16 per cell]
Co (0.250, 0.250, 0.000) [8 per cell]

Calculated formation energy = -0.12 eV/atom
Volume = 13.96 Å³/atom
Offset from the most stable computed form = 207 meV per atom
Total DFT energy (no corrections) = -5.29 eV per atom

(16)
This record from Alexandria describes an optimized crystal structure of ScGa2Co. The functional is PBE.

Lattice parameters (Å, degrees): 3.012 3.012 6.753 90.00 90.00 90.00
Space group P4/mmm (No. 123)
Asymmetric unit:
Sc (0.000, 0.000, 0.000) [1 per cell]
Ga (0.500, 0.500, 0.297) [2 per cell]
Co (0.000, 0.000, 0.500) [1 per cell]

Calculated formation energy = -0.39 eV/atom
Volume = 15.32 Å³/atom
Total DFT energy (no corrections) = -5.27 eV per atom

(17)
This record from Alexandria describes an optimized crystal structure of ScGa3Co4. The functional is PBE.

Lattice parameters (Å, degrees): 4.101 4.101 6.005 90.00 90.00 90.00
Space group P4/mmm (No. 123)
Asymmetric unit:
Sc (0.000, 0.000, 0.000) [1 per cell]
Ga (0.000, 0.000, 0.500) [1 per cell]
Ga (0.500, 0.500, 0.000) [1 per cell]
Ga (0.500, 0.500, 0.500) [1 per cell]
Co (0.000, 0.500, 0.266) [4 per cell]

Calculated formation energy = -0.37 eV/atom
Volume = 12.63 Å³/atom
Total DFT energy (no corrections) = -5.85 eV per atom

(18)
This record from Alexandria describes an optimized crystal structure of Sc3Ga3Co. The functional is PBE.

Lattice parameters (Å, degrees): 10.287 3.728 13.989 90.00 107.65 90.00
Space group C2/m (No. 12)
Asymmetric unit:
Sc (0.027, 0.000, 0.383) [4 per cell]
Sc (0.114, 0.000, 0.923) [4 per cell]
Sc (0.239, 0.000, 0.242) [4 per cell]
Ga (0.019, 0.500, 0.230) [4 per cell]
Ga (0.111, 0.500, 0.076) [4 per cell]
Ga (0.146, 0.500, 0.537) [4 per cell]
Co (0.227, 0.500, 0.379) [4 per cell]

Calculated formation energy = -0.56 eV/atom
Volume = 18.26 Å³/atom
Total DFT energy (no corrections) = -5.59 eV per atom

(19)
This record from Alexandria describes an optimized crystal structure of Sc2GaCo5Si2. The functional is PBE.

Lattice parameters (Å, degrees): 9.031 9.031 3.241 90.00 90.00 90.00
Space group P4/mbm (No. 127)
Asymmetric unit:
Sc (0.175, 0.325, 0.000) [4 per cell]
Ga (0.000, 0.000, 0.000) [2 per cell]
Co (0.000, 0.500, 0.500) [2 per cell]
Co (0.067, 0.790, 0.500) [8 per cell]
Si (0.122, 0.622, 0.000) [4 per cell]

Volume = 13.22 Å³/atom
Total DFT energy (no corrections) = -6.75 eV per atom

(20)
This record from Alexandria describes an optimized crystal structure of Sc2TaGa2Co5. The functional is PBE.

Lattice parameters (Å, degrees): 9.194 9.194 3.350 90.00 90.00 90.00
Space group P4/mbm (No. 127)
Asymmetric unit:
Sc (0.171, 0.329, 0.000) [4 per cell]
Ta (0.000, 0.000, 0.000) [2 per cell]
Ga (0.126, 0.626, 0.000) [4 per cell]
Co (0.000, 0.500, 0.500) [2 per cell]
Co (0.064, 0.799, 0.500) [8 per cell]

Calculated formation energy = -0.32 eV/atom
Volume = 14.16 Å³/atom
Total DFT energy (no corrections) = -6.93 eV per atom